In2SnBr2F2: optimized geometry, PBE-GGA.

The structure in POSCAR format:
```
In2SnBr2F2
1.0
13.5387 0.0000 0.0000
0.0000 4.2950 0.0000
-4.8009 0.0000 6.8371
In Sn Br F
4 2 4 4
Cartesian
1.1704 0.0000 1.6567
0.7981 2.1475 5.1803
7.9397 2.1475 1.6567
7.5675 0.0000 5.1803
-2.4004 0.0000 3.4185
4.3689 2.1475 3.4185
-2.9304 2.1475 5.4879
4.8989 0.0000 1.3492
3.8389 0.0000 5.4879
11.6683 2.1475 1.3492
-0.0498 0.0000 3.8744
2.0183 2.1475 2.9627
6.7196 2.1475 3.8744
8.7877 0.0000 2.9627
```

Computed properties:
Its raw formation energy is -1.3041 eV per atom. The density of states at the Fermi level is 0.00 states/eV/atom.

Pr5SmHo2Sc: optimized geometry, PBE-GGA.

The structure in POSCAR format:
```
Pr5SmHo2Sc
1.0
2.7073 -11.0010 0.0000
2.7073 11.0010 0.0000
0.0000 0.0000 10.3504
Pr Sm Ho Sc
10 2 4 2
Cartesian
0.0000 0.0000 0.0000
0.0000 0.0000 5.1752
2.7073 8.2123 7.7628
2.7073 6.1259 0.6481
2.7073 6.1259 4.5271
2.7073 0.0346 2.5876
2.7073 -0.0346 7.7628
2.7073 -6.1259 5.8233
2.7073 -6.1259 9.7023
2.7073 -8.2123 2.5876
2.7073 8.7711 2.5876
2.7073 -8.7711 7.7628
2.7073 2.5480 5.2062
2.7073 2.5480 10.3194
2.7073 -2.5480 0.0310
2.7073 -2.5480 5.1442
2.7073 4.7057 7.7628
2.7073 -4.7057 2.5876
```

Computed properties:
The formation energy comes out at 0.125 eV per atom. The density of states at the Fermi level is 1.50 states/eV/atom.

Dy4Mg2In: optimized geometry, PBE-GGA.

The structure in POSCAR format:
```
Dy4Mg2In
1.0
2.6005 1.5014 9.4660
-2.6005 1.5014 9.4660
0.0000 -3.0028 9.4660
Dy Mg In
4 2 1
Cartesian
0.0000 0.0000 3.5921
0.0000 0.0000 8.3018
0.0000 0.0000 20.0962
0.0000 0.0000 24.8059
0.0000 0.0000 11.4724
0.0000 0.0000 16.9256
0.0000 0.0000 14.1990
```

Computed properties:
The formation energy comes out at 0.199 eV per atom. The density of states at the Fermi level is 1.24 states/eV/atom.